# 1
PdRhPb2 after structural relaxation, computed with GGA-PBE.

The structure in extended XYZ format:
```
12
Lattice="4.307 0.000 0.000 -2.154 3.730 0.000 0.000 0.000 16.701" Properties=species:S:1:pos:R:3 pbc="T T T"
Pd 0.000 0.000 0.000
Pd 0.000 2.487 11.134
Pd 2.154 1.243 5.567
Rh 0.000 0.000 13.778
Rh 0.000 2.487 8.211
Rh 2.154 1.243 2.644
Pb 0.000 0.000 3.948
Pb 0.000 0.000 7.055
Pb 0.000 2.487 1.489
Pb 0.000 2.487 15.082
Pb 2.154 1.243 9.515
Pb 2.154 1.243 12.622
```

Properties
offset from the most stable computed form: 126 meV/atom
SG: R3m, No. 160
energy of formation: 0.017 eV per atom
total energy: -0.3655 Ry/atom



# 2
HgPt2F8 after structural relaxation, computed with GGA-PBE.

The structure in extended XYZ format:
```
11
Lattice="4.089 0.000 0.000 1.998 5.941 0.000 0.036 3.225 6.661" Properties=species:S:1:pos:R:3 pbc="T T T"
Hg 0.000 0.000 0.000
Pt 2.046 2.534 2.453
Pt 4.078 6.631 4.208
F 2.034 6.726 4.445
F 2.019 4.018 0.916
F 2.041 3.842 3.860
F 2.043 1.200 0.973
F 4.081 7.965 5.688
F 4.083 5.324 2.801
F 4.105 5.147 5.745
F 4.090 2.439 2.216
```

Properties
SG: P-1, No. 2
total energy: -0.2690 Ry/atom



# 3
Ho4HgPb after structural relaxation, computed with GGA-PBE.

The structure in extended XYZ format:
```
6
Lattice="5.128 0.000 0.000 0.000 5.128 0.000 0.000 0.000 7.246" Properties=species:S:1:pos:R:3 pbc="T T T"
Ho 0.000 2.564 1.713
Ho 0.000 2.564 5.533
Ho 2.564 0.000 1.713
Ho 2.564 0.000 5.533
Hg 0.000 0.000 0.000
Pb 2.564 2.564 3.623
```

Properties
SG: P4/mmm, No. 123
energy of formation: -0.156 eV per atom
total energy: -0.2849 Ry/atom



Among the records above, which one has the highest total energy? HgPt2F8



total energy of number 1 (PdRhPb2)? -0.3655 Ry/atom